Record 1
The following is a GGA-PBE calculation of a geometry-optimized TbCeCd4 structure, from the Alexandria database.

Cell and atoms, written as POSCAR:
```
TbCeCd4
1.0
-3.5773 1.6599 4.4495
2.0188 0.0083 5.5924
0.9466 5.1528 2.8112
Ce Tb Cd
1 1 4
Cartesian
-0.1530 1.7053 3.2133
0.0000 0.0000 0.0000
-0.8563 1.6851 6.6278
-0.3825 4.2640 8.0347
-1.3929 4.2598 5.2358
1.4079 3.4332 5.8078
```

Calculated values
For the volume, the calculation gives 24.8 Å³/atom. The calculation puts the magnetic moment at 0.99 μB/cell. Its total energy is -15.6 eV for the cell shown. For the formation energy, the calculation gives -0.224 eV per atom. The relative energy among the computed polymorphs comes out at 58 meV per atom.

***

Record 2
The following is a GGA-PBE calculation of a geometry-optimized AgRh2 structure, from the Alexandria database.

Cell and atoms, written as POSCAR:
```
AgRh2
1.0
-1.3586 2.2993 3.5750
-2.2530 -3.6216 -1.3120
1.5643 -1.5496 1.5911
Rh Ag
2 1
Cartesian
-1.6567 0.3257 1.9460
-1.9549 -1.6480 0.3170
0.7822 -0.7748 0.7956
```

Calculated values
For the volume, the calculation gives 15.6 Å³/atom. The calculation puts the magnetic moment at 0.00 μB/cell. Its total energy is -16.6 eV for the cell shown. For the formation energy, the calculation gives 0.324 eV per atom. The relative energy among the computed polymorphs comes out at 164 meV per atom.

***

Record 3
The following is a GGA-PBE calculation of a geometry-optimized Sc6Cd5Ru structure, from the Alexandria database.

Cell and atoms, written as POSCAR:
```
Sc6Cd5Ru
1.0
-3.4938 2.0144 -2.7538
3.3091 -2.2747 -5.8623
-5.5364 -5.2334 -1.0945
Sc Ru Cd
6 1 5
Cartesian
-3.8844 -0.4451 -4.0494
0.8132 -0.7526 -5.9124
-1.8367 -5.0485 -5.6612
-2.1348 -1.6479 -7.1490
-0.9979 0.4923 -2.7037
-3.5863 -3.8458 -2.5616
0.0000 0.0000 0.0000
-4.3290 -3.2266 -5.4980
-5.9568 -2.0449 -2.5689
-3.0734 -1.1740 -1.2793
1.6546 -1.1373 -2.9312
-1.3921 -2.2670 -4.2126
```

Calculated values
For the volume, the calculation gives 21.1 Å³/atom. The calculation puts the magnetic moment at 0.00 μB/cell. Its total energy is -56.0 eV for the cell shown. For the formation energy, the calculation gives -0.350 eV per atom.

***

Record 4
The following is a GGA-PBE calculation of a geometry-optimized RhC2 structure, from the Alexandria database.

Cell and atoms, written as POSCAR:
```
RhC2
1.0
4.6255 0.2683 0.1730
3.4429 3.1007 0.1730
3.4429 1.4376 2.7527
C Rh
2 1
Cartesian
8.7871 3.6691 2.3653
7.6177 3.1808 2.0506
10.4545 4.3653 2.8142
```

Calculated values
For the volume, the calculation gives 11.7 Å³/atom. The calculation puts the magnetic moment at 0.00 μB/cell. Its total energy is -22.5 eV for the cell shown. For the formation energy, the calculation gives 1.112 eV per atom. The relative energy among the computed polymorphs comes out at 650 meV per atom.

***

Record 5
The following is a GGA-PBE calculation of a geometry-optimized ScBe2PtSe structure, from the Alexandria database.

Cell and atoms, written as POSCAR:
```
ScBe2PtSe
1.0
-0.7076 -2.7606 -3.0189
5.0992 0.4928 -1.6458
1.1208 -3.0774 2.5513
Se Be Sc Pt
1 2 1 1
Cartesian
2.5496 0.2464 -0.8229
0.5604 -1.5387 1.2757
-0.3538 -1.3803 -1.5095
2.7562 -2.6726 -1.0567
0.0000 0.0000 0.0000
```

Calculated values
For the volume, the calculation gives 18.5 Å³/atom. The calculation puts the magnetic moment at 0.00 μB/cell. Its total energy is -23.8 eV for the cell shown. The uncorrected formation energy comes out at -0.102 eV/atom.

***

Record 6
The following is a GGA-PBE calculation of a geometry-optimized AcTl2As2Pd7 structure, from the Alexandria database.

Cell and atoms, written as POSCAR:
```
AcTl2As2Pd7
1.0
-1.0113 -4.2023 -1.8954
1.1609 -1.2014 4.4140
-11.1709 -0.3817 4.0275
Tl Pd As Ac
2 7 2 1
Cartesian
-4.0986 -4.7837 3.6863
-6.9228 -1.0018 2.8598
-9.3130 -2.8305 2.8945
-1.7084 -2.9549 3.6515
-6.5654 -3.6591 4.0007
-2.5573 -4.1277 1.1857
0.0748 -2.7019 1.2593
-8.4640 -1.6577 5.3604
-4.4559 -2.1263 2.5454
-8.7623 -4.0872 4.9606
-2.2590 -1.6983 1.5855
0.0000 0.0000 0.0000
```

Calculated values
For the volume, the calculation gives 21.4 Å³/atom. The calculation puts the magnetic moment at 0.00 μB/cell. Its total energy is -58.9 eV for the cell shown. For the formation energy, the calculation gives -0.371 eV per atom.

***

Record 7
The following is a GGA-PBE calculation of a geometry-optimized LaCSCl2 structure, from the Alexandria database.

Cell and atoms, written as POSCAR:
```
LaCSCl2
1.0
-2.9390 -3.2995 0.2568
3.1414 -2.8893 -1.1721
1.1023 -0.6309 4.5095
La S Cl C
1 1 2 1
Cartesian
0.6524 -3.4099 1.7971
0.5511 -0.3155 2.2548
-1.4695 -1.6498 0.1284
1.5707 -1.4447 -0.5861
0.0000 0.0000 0.0000
```

Calculated values
For the volume, the calculation gives 18.4 Å³/atom. The calculation puts the magnetic moment at 0.03 μB/cell. Its total energy is -22.9 eV for the cell shown. The uncorrected formation energy comes out at -0.179 eV/atom. The relative energy among the computed polymorphs comes out at 0 meV per atom.

***

Record 8
The following is a GGA-PBE calculation of a geometry-optimized BaSr2 structure, from the Alexandria database.

Cell and atoms, written as POSCAR:
```
BaSr2
1.0
6.8446 0.0000 0.0000
-3.4223 5.9276 0.0000
0.0000 0.0000 4.1731
Sr Ba
2 1
Cartesian
3.4223 1.9759 2.7539
0.0000 3.9517 1.4192
0.0000 0.0000 0.0000
```

Calculated values
For the volume, the calculation gives 56.4 Å³/atom. The calculation puts the magnetic moment at 0.00 μB/cell. Its total energy is -5.3 eV for the cell shown. For the formation energy, the calculation gives 0.003 eV per atom. The relative energy among the computed polymorphs comes out at 0 meV per atom.

***

What is the magnetic moment in the fourth record? 0.00 μB/cell

***

Among the records above, which one has the highest magnetic moment? TbCeCd4